No. 1
Density functional theory data (PBE) for a relaxed structure of Ac3SnCl3.

The structure belongs to space group R-3 (No. 148, hexagonal axes); the cell edges are 8.2413, 8.2413 and 25.5184 Å and the angles 90.00°, 90.00° and 120.00°. Symmetry generates all atoms from Ac at (0.0001, 0.3363, 0.4285), Sn at (0.0000, 0.0000, 0.1666) and Cl at (0.0004, 0.3331, 0.6273).

The uncorrected formation energy is -1.5130 eV per atom.

=====

No. 2
Density functional theory data (PBE) for a relaxed structure of NdAlGeBr.

The structure belongs to space group R-3m (No. 166, hexagonal axes); the cell edges are 4.2896, 4.2896 and 41.9428 Å and the angles 90.00°, 90.00° and 120.00°. Symmetry generates all atoms from Nd at (0.0000, 0.0000, 0.0801), Al at (0.0000, 0.0000, 0.3101), Ge at (0.0000, 0.0000, 0.3711) and Br at (0.0000, 0.0000, 0.2105).

The uncorrected formation energy is -0.9243 eV per atom.

=====

No. 3
Density functional theory data (PBE) for a relaxed structure of La6CeHo2Tm.

The structure belongs to space group C2/m (No. 12); the cell edges are 12.096, 6.922 and 9.036 Å and the angles 90.00°, 110.55° and 90.00°. Symmetry generates all atoms from La at (0.144, 0.241, 0.304), La at (0.167, 0.000, 0.922), Ce at (0.000, 0.000, 0.500), Ho at (0.101, 0.500, 0.681) and Tm at (0.000, 0.500, 0.000).

The value obtained for the energy of formation is 2.24 eV/f.u.

=====

No. 4
Density functional theory data (PBE) for a relaxed structure of BeCrGe2.

The structure belongs to space group I-42d (No. 122); the cell edges are 6.703, 6.703 and 5.040 Å and the angles 90.00°, 90.00° and 90.00°. Symmetry generates all atoms from Be at (0.000, 0.000, 0.000), Cr at (0.000, 0.000, 0.500) and Ge at (0.221, 0.750, 0.125).

The value obtained for the energy of formation is 2.56 eV/f.u.

=====

No. 5
Density functional theory data (PBE) for a relaxed structure of Tm7MgZn4.

The structure belongs to space group C2/m (No. 12); the cell edges are 13.771, 5.518 and 9.108 Å and the angles 90.00°, 121.46° and 90.00°. Symmetry generates all atoms from Tm at (0.000, 0.000, 0.000), Tm at (0.076, 0.500, 0.414), Tm at (0.196, 0.500, 0.878), Tm at (0.230, 0.000, 0.687), Mg at (0.000, 0.500, 0.000), Zn at (0.028, 0.000, 0.694) and Zn at (0.182, 0.000, 0.339).

The value obtained for the energy of formation is -0.33 eV/f.u.

=====

No. 6
Density functional theory data (PBE) for a relaxed structure of Ba2TlHPd.

The structure belongs to space group P4/mmm (No. 123); the cell edges are 5.982, 5.982 and 3.847 Å and the angles 90.00°, 90.00° and 90.00°. Symmetry generates all atoms from Ba at (0.000, 0.500, 0.000), Tl at (0.000, 0.000, 0.500), H at (0.500, 0.500, 0.000) and Pd at (0.500, 0.500, 0.500).

As for the energy: -16.83 eV/cell.

=====

No. 7
Density functional theory data (PBE) for a relaxed structure of RbBa2Au2O6.

The structure belongs to space group R-3m (No. 166, hexagonal axes); the cell edges are 6.1341, 6.1341 and 22.8677 Å and the angles 90.00°, 90.00° and 120.00°. Symmetry generates all atoms from Rb at (0.0000, 0.0000, 0.0000), Ba at (0.0000, 0.0000, 0.2010), Au at (0.0000, 0.0000, 0.4335) and O at (0.0385, 0.5193, 0.7717).

The uncorrected formation energy is -0.9284 eV per atom.

=====

No. 8
Density functional theory data (PBE) for a relaxed structure of ZrTlW.

The structure belongs to space group F-43m (No. 216); the cell edges are 6.636, 6.636 and 6.636 Å and the angles 90.00°, 90.00° and 90.00°. Symmetry generates all atoms from Zr at (0.000, 0.000, 0.000), Tl at (0.000, 0.000, 0.500) and W at (0.250, 0.250, 0.750).

The value obtained for the energy of formation is 3.23 eV/f.u. The value obtained for the polymorph energy (0 for the lowest one) is 668 meV/atom.

=====

No. 9
Density functional theory data (PBE) for a relaxed structure of NpInPtO6.

The structure belongs to space group P-31c (No. 163); the cell edges are 5.4611, 5.4611 and 8.9152 Å and the angles 90.00°, 90.00° and 120.00°. Symmetry generates all atoms from Np at (0.3333, 0.6667, 0.2500), In at (0.3333, 0.6667, 0.7500), Pt at (0.0000, 0.0000, 0.0000) and O at (0.0124, 0.3313, 0.1229).

The uncorrected formation energy is -1.5719 eV per atom.

=====

No. 10
Density functional theory data (PBE) for a relaxed structure of Ac4RuSe2Cl.

The structure belongs to space group P2/m (No. 10); the cell edges are 7.731, 4.325 and 7.882 Å and the angles 90.00°, 107.43° and 90.00°. Symmetry generates all atoms from Ac at (0.224, 0.000, 0.226), Ac at (0.232, 0.500, 0.758), Ru at (0.000, 0.500, 0.000), Se at (0.000, 0.000, 0.500), Se at (0.500, 0.500, 0.500) and Cl at (0.500, 0.000, 0.000).

The uncorrected formation energy is -1.3199 eV per atom.

=====

No. 11
Density functional theory data (PBE) for a relaxed structure of CoNiTe2I.

The structure belongs to space group P4/mmm (No. 123); the cell edges are 5.018, 5.018 and 5.350 Å and the angles 90.00°, 90.00° and 90.00°. Symmetry generates all atoms from Co at (0.000, 0.000, 0.000), Ni at (0.500, 0.500, 0.500), Te at (0.000, 0.500, 0.500) and I at (0.500, 0.500, 0.000).

The uncorrected formation energy is 0.8324 eV per atom. The value obtained for the polymorph energy (0 for the lowest one) is 5 meV/atom.

=====

No. 12
Density functional theory data (PBE) for a relaxed structure of KOs3Rh.

The structure belongs to space group Pm-3m (No. 221); the cell edges are 4.478, 4.478 and 4.478 Å and the angles 90.00°, 90.00° and 90.00°. Symmetry generates all atoms from K at (0.000, 0.000, 0.000), Os at (0.000, 0.000, 0.500) and Rh at (0.500, 0.500, 0.500).

The value obtained for the energy of formation is 19.41 eV/f.u. The value obtained for the polymorph energy (0 for the lowest one) is 1571 meV/atom.

=====

No. 13
Density functional theory data (PBE) for a relaxed structure of Sm4DyHo2.

The structure belongs to space group P2_1/m (No. 11); the cell edges are 6.199, 6.595 and 11.585 Å and the angles 90.00°, 104.93° and 90.00°. Symmetry generates all atoms from Sm at (0.036, 0.250, 0.363), Sm at (0.149, 0.250, 0.949), Sm at (0.350, 0.508, 0.214), Dy at (0.153, 0.250, 0.663), Ho at (0.289, 0.750, 0.925) and Ho at (0.392, 0.750, 0.504).

The value obtained for the energy of formation is 0.91 eV/f.u. The value obtained for the polymorph energy (0 for the lowest one) is 75 meV/atom.

=====

No. 14
Density functional theory data (PBE) for a relaxed structure of Ba4Ta3HgO12.

The structure belongs to space group Im-3m (No. 229); the cell edges are 8.446, 8.446 and 8.446 Å and the angles 90.00°, 90.00° and 90.00°. Symmetry generates all atoms from Ba at (0.250, 0.250, 0.250), Ta at (0.000, 0.000, 0.500), Hg at (0.000, 0.000, 0.000), O at (0.000, 0.000, 0.272) and O at (0.000, 0.250, 0.500).

The uncorrected formation energy is -2.6200 eV per atom.

=====

No. 15
Density functional theory data (PBE) for a relaxed structure of BaEr2NpO8.

The structure belongs to space group P2/m (No. 10); the cell edges are 5.115, 7.449 and 5.122 Å and the angles 90.00°, 90.44° and 90.00°. Symmetry generates all atoms from Ba at (0.000, 0.000, 0.000), Er at (0.500, 0.266, 0.500), Np at (0.000, 0.500, 0.000), O at (0.187, 0.305, 0.193), O at (0.293, 0.500, 0.713) and O at (0.358, 0.000, 0.657).

The uncorrected formation energy is -2.8668 eV per atom.

=====

No. 16
Density functional theory data (PBE) for a relaxed structure of NaMgNb.

The structure belongs to space group Pm (No. 6); the cell edges are 3.012, 5.278 and 8.978 Å and the angles 90.00°, 93.99° and 90.00°. Symmetry generates all atoms from Na at (0.000, 0.000, 0.000), Na at (0.495, 0.500, 0.162), Mg at (0.417, 0.000, 0.679), Mg at (0.777, 0.000, 0.378), Nb at (0.256, 0.500, 0.514) and Nb at (0.927, 0.500, 0.753).

The value obtained for the energy of formation is 1.12 eV/f.u. The value obtained for the polymorph energy (0 for the lowest one) is 195 meV/atom.

=====

No. 17
Density functional theory data (PBE) for a relaxed structure of CsTaH2.

The structure belongs to space group Fm-3m (No. 225); the cell edges are 6.630, 6.630 and 6.630 Å and the angles 90.00°, 90.00° and 90.00°. Symmetry generates all atoms from Cs at (0.000, 0.000, 0.000), Ta at (0.000, 0.000, 0.500) and H at (0.250, 0.250, 0.250).

As for the energy: -50.27 eV/cell.

=====

No. 18
Density functional theory data (PBE) for a relaxed structure of PuBe17Re.

The structure belongs to space group R3m (No. 160, hexagonal axes); the cell edges are 7.4612, 7.4612 and 10.9245 Å and the angles 90.00°, 90.00° and 120.00°. Symmetry generates all atoms from Pu at (0.0000, 0.0000, 0.0000), Be at (0.0000, 0.0000, 0.5604), Be at (0.0000, 0.0000, 0.7526), Be at (0.0010, 0.5005, 0.1607), Be at (0.0454, 0.3719, 0.3283), Be at (0.1699, 0.3399, 0.1507), Be at (0.1714, 0.3428, 0.8398) and Re at (0.0000, 0.0000, 0.3330).

The value obtained for the energy of formation is -0.48 eV/f.u.

=====

No. 19
Density functional theory data (PBE) for a relaxed structure of Ca2LaTe.

The structure belongs to space group Cm (No. 8); the cell edges are 12.286, 4.032 and 6.836 Å and the angles 90.00°, 117.70° and 90.00°. Symmetry generates all atoms from Ca at (0.000, 0.000, 0.000), Ca at (0.204, 0.000, 0.750), La at (0.303, 0.500, 0.354) and Te at (0.024, 0.500, 0.371).

The uncorrected formation energy is -0.6093 eV per atom.

=====

No. 20
Density functional theory data (PBE) for a relaxed structure of CsSrSb.

The structure belongs to space group Cmcm (No. 63); the cell edges are 4.765, 14.689 and 8.451 Å and the angles 90.00°, 90.00° and 90.00°. Symmetry generates all atoms from Cs at (0.000, 0.220, 0.250), Sr at (0.000, 0.500, 0.000) and Sb at (0.000, 0.075, 0.750).

The uncorrected formation energy is -0.6397 eV per atom.

=====

No. 21
Density functional theory data (PBE) for a relaxed structure of CaMgMn.

The structure belongs to space group I4mm (No. 107); the cell edges are 3.556, 3.556 and 11.512 Å and the angles 90.00°, 90.00° and 90.00°. Symmetry generates all atoms from Ca at (0.000, 0.000, 0.000), Mg at (0.000, 0.000, 0.295) and Mn at (0.000, 0.000, 0.680).

The value obtained for the energy of formation is 0.85 eV/f.u.

=====

No. 22
Density functional theory data (PBE) for a relaxed structure of Ba2H2Se2O.

The structure belongs to space group P-1 (No. 2); the cell edges are 4.361, 5.238 and 7.806 Å and the angles 80.55°, 75.46° and 74.37°. Symmetry generates all atoms from Ba at (0.087, 0.222, 0.214), H at (0.323, 0.746, 0.026), Se at (0.453, 0.222, 0.549) and O at (0.500, 0.500, 0.000).

As for the energy: -29.14 eV/cell.

=====

No. 23
Density functional theory data (PBE) for a relaxed structure of TcPBr2.

The structure belongs to space group R-3m (No. 166, hexagonal axes); the cell edges are 3.2465, 3.2465 and 27.1228 Å and the angles 90.00°, 90.00° and 120.00°. Symmetry generates all atoms from Tc at (0.0000, 0.0000, 0.0000), P at (0.0000, 0.0000, 0.5000) and Br at (0.0000, 0.0000, 0.2675).

The uncorrected formation energy is 0.7114 eV per atom. The value obtained for the polymorph energy (0 for the lowest one) is 886 meV/atom.